GGA+U MnBi2O4, optimized geometry; calculated total energy = -0.461 Ry per atom; SG = Pbam; total moment = 0.71 μB/atom; crystal system = orthorhombic
1.0
3.563 0.000 0.000
0.000 5.704 0.000
0.000 0.000 11.247
Mn Bi O
2 4 8
direct
0.000 0.000 0.500
0.000 0.500 0.000
0.500 0.916 0.848
0.500 0.084 0.152
0.500 0.416 0.652
0.500 0.584 0.348
0.000 0.675 0.829
0.000 0.325 0.171
0.000 0.175 0.671
0.000 0.825 0.329
0.500 0.744 0.525
0.500 0.256 0.475
0.500 0.756 0.025
0.500 0.244 0.975